1.
VASP calculation (PBE-GGA) on an optimized crystal structure of Nd2Ho2CIBr2Cl2.

a = 17.350 Å, b = 3.909 Å, c = 8.867 Å
α = 90.00°, β = 103.50°, γ = 90.00°
Space group C2/m (No. 12)
Unique sites:
Nd 0.003 0.000 0.306 (multiplicity 4)
Ho 0.141 0.500 0.569 (multiplicity 4)
C 0.000 0.500 0.500 (multiplicity 2)
I 0.000 0.500 0.000 (multiplicity 2)
Br 0.175 0.000 0.809 (multiplicity 4)
Cl 0.175 0.000 0.375 (multiplicity 4)

Energy above the lowest structure with this stoichiometry in eV per formula unit: 0.00
Theoretical density in Mg/m³: 5.61
Volume in A^3/atom: 29.2
Raw total energy in eV per atom: -5.12

=====

2.
VASP calculation (PBE-GGA) on an optimized crystal structure of Nd2Ho2CIBr2Cl2.

a = 17.848 Å, b = 3.907 Å, c = 8.838 Å
α = 90.00°, β = 103.41°, γ = 90.00°
Space group C2/m (No. 12)
Unique sites:
Nd 0.000 0.000 0.196 (multiplicity 4)
Ho 0.137 0.500 0.069 (multiplicity 4)
C 0.000 0.500 0.000 (multiplicity 2)
I 0.000 0.500 0.500 (multiplicity 2)
Br 0.174 0.000 0.855 (multiplicity 4)
Cl 0.165 0.000 0.288 (multiplicity 4)

Energy above the lowest structure with this stoichiometry in eV per formula unit: 0.02
Theoretical density in Mg/m³: 5.47
Volume in A^3/atom: 30.0
Raw total energy in eV per atom: -5.12

=====

3.
VASP calculation (PBE-GGA) on an optimized crystal structure of Nd2Ho2CIBr2Cl2.

a = 17.474 Å, b = 3.872 Å, c = 8.485 Å
α = 90.00°, β = 104.92°, γ = 90.00°
Space group C2/m (No. 12)
Unique sites:
Nd 0.148 0.000 0.078 (multiplicity 4)
Ho 0.000 0.500 0.191 (multiplicity 4)
C 0.000 0.000 0.000 (multiplicity 2)
I 0.000 0.000 0.500 (multiplicity 2)
Br 0.167 0.500 0.347 (multiplicity 4)
Cl 0.165 0.500 0.838 (multiplicity 4)

Energy above the lowest structure with this stoichiometry in eV per formula unit: 0.09
Theoretical density in Mg/m³: 5.91
Volume in A^3/atom: 27.7
Raw total energy in eV per atom: -5.11

=====

4.
VASP calculation (PBE-GGA) on an optimized crystal structure of Nd2Ho2CIBr2Cl2.

a = 17.897 Å, b = 3.860 Å, c = 8.431 Å
α = 90.00°, β = 104.51°, γ = 90.00°
Space group C2/m (No. 12)
Unique sites:
Nd 0.145 0.000 0.081 (multiplicity 4)
Ho 0.001 0.500 0.192 (multiplicity 4)
C 0.000 0.000 0.000 (multiplicity 2)
I 0.000 0.000 0.500 (multiplicity 2)
Br 0.166 0.500 0.822 (multiplicity 4)
Cl 0.156 0.500 0.331 (multiplicity 4)

Energy above the lowest structure with this stoichiometry in eV per formula unit: 0.06
Theoretical density in Mg/m³: 5.82
Volume in A^3/atom: 28.2
Raw total energy in eV per atom: -5.11

=====

5.
VASP calculation (PBE-GGA) on an optimized crystal structure of Nd2Ho2CI2Br2Cl.

a = 18.936 Å, b = 3.926 Å, c = 8.182 Å
α = 90.00°, β = 102.34°, γ = 90.00°
Space group C2/m (No. 12)
Unique sites:
Nd 0.000 0.000 0.214 (multiplicity 4)
Ho 0.130 0.500 0.068 (multiplicity 4)
C 0.000 0.500 0.000 (multiplicity 2)
I 0.173 0.000 0.819 (multiplicity 4)
Br 0.162 0.000 0.328 (multiplicity 4)
Cl 0.000 0.500 0.500 (multiplicity 2)

Energy above the lowest structure with this stoichiometry in eV per formula unit: 0.00
Theoretical density in Mg/m³: 6.03
Volume in A^3/atom: 29.7
Raw total energy in eV per atom: -4.96

=====

6.
VASP calculation (PBE-GGA) on an optimized crystal structure of Pr2Ho2CI2BrCl2.

a = 18.021 Å, b = 3.902 Å, c = 8.283 Å
α = 90.00°, β = 101.95°, γ = 90.00°
Space group C2/m (No. 12)
Unique sites:
Pr 0.143 0.000 0.065 (multiplicity 4)
Ho 0.003 0.500 0.803 (multiplicity 4)
C 0.000 0.000 0.000 (multiplicity 2)
I 0.165 0.500 0.367 (multiplicity 4)
Br 0.000 0.000 0.500 (multiplicity 2)
Cl 0.161 0.500 0.819 (multiplicity 4)

Theoretical density in Mg/m³: 5.99
Volume in A^3/atom: 28.5
Raw total energy in eV per atom: -5.00

=====

7.
VASP calculation (PBE-GGA) on an optimized crystal structure of Ho2Sc2CI2Br2Cl.

a = 19.899 Å, b = 3.739 Å, c = 7.837 Å
α = 90.00°, β = 100.64°, γ = 90.00°
Space group C2/m (No. 12)
Unique sites:
Ho 0.001 0.000 0.209 (multiplicity 4)
Sc 0.114 0.500 0.049 (multiplicity 4)
C 0.000 0.500 0.000 (multiplicity 2)
I 0.158 0.000 0.332 (multiplicity 4)
Br 0.147 0.000 0.825 (multiplicity 4)
Cl 0.000 0.500 0.500 (multiplicity 2)

Energy above the lowest structure with this stoichiometry in eV per formula unit: 0.01
Theoretical density in Mg/m³: 5.11
Volume in A^3/atom: 28.6
Raw total energy in eV per atom: -5.26

=====

8.
VASP calculation (PBE-GGA) on an optimized crystal structure of Ho2Sc2CI2Br2Cl.

a = 18.340 Å, b = 3.748 Å, c = 7.834 Å
α = 90.00°, β = 101.04°, γ = 90.00°
Space group C2/m (No. 12)
Unique sites:
Ho 0.130 0.000 0.070 (multiplicity 4)
Sc 0.002 0.500 0.807 (multiplicity 4)
C 0.000 0.000 0.000 (multiplicity 2)
I 0.168 0.500 0.800 (multiplicity 4)
Br 0.149 0.500 0.341 (multiplicity 4)
Cl 0.000 0.000 0.500 (multiplicity 2)

Energy above the lowest structure with this stoichiometry in eV per formula unit: 0.62
Theoretical density in Mg/m³: 5.54
Volume in A^3/atom: 26.4
Raw total energy in eV per atom: -5.20

=====

9.
VASP calculation (PBE-GGA) on an optimized crystal structure of Ho2Sc2CI2Br2Cl.

a = 19.890 Å, b = 3.731 Å, c = 7.820 Å
α = 90.00°, β = 101.29°, γ = 90.00°
Space group C2/m (No. 12)
Unique sites:
Ho 0.000 0.000 0.209 (multiplicity 4)
Sc 0.114 0.500 0.063 (multiplicity 4)
C 0.000 0.500 0.000 (multiplicity 2)
I 0.158 0.000 0.821 (multiplicity 4)
Br 0.147 0.000 0.321 (multiplicity 4)
Cl 0.000 0.500 0.500 (multiplicity 2)

Energy above the lowest structure with this stoichiometry in eV per formula unit: 0.00
Theoretical density in Mg/m³: 5.14
Volume in A^3/atom: 28.5
Raw total energy in eV per atom: -5.26

=====

10.
VASP calculation (PBE-GGA) on an optimized crystal structure of Sm2Ho2CI2Br2Cl.

a = 18.817 Å, b = 3.889 Å, c = 8.099 Å
α = 90.00°, β = 101.93°, γ = 90.00°
Space group C2/m (No. 12)
Unique sites:
Sm 0.001 0.000 0.289 (multiplicity 4)
Ho 0.130 0.500 0.569 (multiplicity 4)
C 0.000 0.500 0.500 (multiplicity 2)
I 0.173 0.000 0.315 (multiplicity 4)
Br 0.159 0.000 0.832 (multiplicity 4)
Cl 0.000 0.500 0.000 (multiplicity 2)

Energy above the lowest structure with this stoichiometry in eV per formula unit: 0.00
Theoretical density in Mg/m³: 6.25
Volume in A^3/atom: 29.0
Raw total energy in eV per atom: -4.95

=====

11.
VASP calculation (PBE-GGA) on an optimized crystal structure of Sm2Ho2CIBr2Cl2.

a = 17.744 Å, b = 3.871 Å, c = 8.685 Å
α = 90.00°, β = 103.66°, γ = 90.00°
Space group C2/m (No. 12)
Unique sites:
Sm 0.000 0.000 0.195 (multiplicity 4)
Ho 0.138 0.500 0.071 (multiplicity 4)
C 0.000 0.500 0.000 (multiplicity 2)
I 0.000 0.500 0.500 (multiplicity 2)
Br 0.173 0.000 0.850 (multiplicity 4)
Cl 0.164 0.000 0.295 (multiplicity 4)

Theoretical density in Mg/m³: 5.73
Volume in A^3/atom: 29.0
Raw total energy in eV per atom: -5.11

=====

12.
VASP calculation (PBE-GGA) on an optimized crystal structure of Sm2Ho2CI2Br2Cl.

a = 18.730 Å, b = 3.895 Å, c = 8.126 Å
α = 90.00°, β = 100.81°, γ = 90.00°
Space group C2/m (No. 12)
Unique sites:
Sm 0.004 0.000 0.290 (multiplicity 4)
Ho 0.129 0.500 0.564 (multiplicity 4)
C 0.000 0.500 0.500 (multiplicity 2)
I 0.165 0.000 0.852 (multiplicity 4)
Br 0.169 0.000 0.337 (multiplicity 4)
Cl 0.000 0.500 0.000 (multiplicity 2)

Energy above the lowest structure with this stoichiometry in eV per formula unit: 0.09
Theoretical density in Mg/m³: 6.23
Volume in A^3/atom: 29.1
Raw total energy in eV per atom: -4.94